Entry from Alexandria via LeMat-Bulk: a relaxed structure of PuBiP2 (PBE).

Summary:
- energy (eV/f.u.) = -29.39
- density of states at the Fermi level (states/eV per atom) = 2.725
- ΔH_f (0 K) (eV/atom) = -0.090
- space-group type = No. 166

abc: 8.5618 8.5618 8.5618
angles: 27.07 27.07 27.07
Closest atoms and distances in Å follow each position.
Fractional positions:
Pu 0.0000 0.0000 0.0000  6 P 2.70
Bi 0.5000 0.5000 0.5000  2 P 2.73
P 0.3895 0.3895 0.3895  3 Pu 2.70, 1 Bi 2.73
P 0.6105 0.6105 0.6105  3 Pu 2.70, 1 Bi 2.73

Entry from Alexandria via LeMat-Bulk: a relaxed structure of PuBiP (PBE).

Summary:
- energy (eV/f.u.) = -24.72
- density of states at the Fermi level (states/eV per atom) = 3.240
- ΔH_f (0 K) (eV/atom) = -0.366
- space-group type = No. 166

abc: 9.6809 9.6809 9.6809
angles: 27.61 27.61 27.61
Closest atoms and distances in Å follow each position.
Fractional positions:
Pu 0.1109 0.1109 0.1109  4 P 2.69-2.70
Pu 0.8891 0.8891 0.8891  4 P 2.69-2.70
Bi 0.3652 0.3652 0.3652  3 Bi 3.21, 3 Pu 3.46
Bi 0.6348 0.6348 0.6348  3 Bi 3.21, 3 Pu 3.46
P 0.2073 0.2073 0.2073  4 Pu 2.69-2.70
P 0.7927 0.7927 0.7927  4 Pu 2.69-2.70